Compound: Pm3DyTc
Source: Alexandria
Functional: PBE-GGA
Structure: relaxed

Cell and atoms, written as extended XYZ:
```
5
Lattice="5.4801 0.0000 0.0000 0.0000 5.4801 0.0000 0.0000 0.0000 5.4801" Properties=species:S:1:pos:R:3 pbc="T T T"
Pm 0.0000 0.0000 2.7400
Pm 0.0000 2.7400 0.0000
Pm 2.7400 0.0000 0.0000
Dy 2.7400 2.7400 2.7400
Tc 0.0000 0.0000 0.0000
```

Calculated values
Volume ... 32.92 Å³/atom
Calculated formation energy ... 0.209 eV/atom
Excess energy over the best structure of this formula in the dataset ... 209.1 meV/atom
Space group ... Pm-3m, No. 221
Total magnetization ... 0.01 μB per formula unit



Compound: Pm2DyTc9
Source: Alexandria
Functional: PBE-GGA
Structure: relaxed

Cell and atoms, written as extended XYZ:
```
12
Lattice="4.8085 -2.6436 0.0000 4.8085 2.6436 0.0000 -3.6652 0.0000 8.7106" Properties=species:S:1:pos:R:3 pbc="T T T"
Pm -0.2080 0.0000 3.7422
Pm 6.1599 0.0000 4.9684
Dy 0.0000 0.0000 0.0000
Tc 2.2350 1.3444 2.1792
Tc 2.9880 0.0000 0.0876
Tc 3.7168 1.3444 6.5313
Tc 1.2454 0.0000 6.6974
Tc 2.9759 0.0000 4.3553
Tc 4.7064 0.0000 2.0131
Tc 2.2350 -1.3444 2.1792
Tc 2.9638 0.0000 8.6230
Tc 3.7168 -1.3444 6.5313
```

Calculated values
Volume ... 18.45 Å³/atom
Calculated formation energy ... 0.027 eV/atom
Space group ... C2/m, No. 12
Total magnetization ... 0.00 μB per formula unit



Compound: PmDy3Tc
Source: Alexandria
Functional: PBE-GGA
Structure: relaxed

Cell and atoms, written as extended XYZ:
```
10
Lattice="8.6823 0.0000 0.0000 0.0000 3.7959 0.0000 -1.8075 0.0000 8.5536" Properties=species:S:1:pos:R:3 pbc="T T T"
Pm 1.4492 0.9490 0.1023
Pm 5.4256 2.8469 8.4513
Dy -0.9706 2.8469 5.6813
Dy 2.2578 2.8469 3.3257
Dy 2.1929 2.8469 6.9868
Dy 4.6819 0.9490 1.5668
Dy 4.6169 0.9490 5.2278
Dy 7.8454 0.9490 2.8723
Tc 1.1989 0.9490 5.1239
Tc 5.6758 2.8469 3.4297
```

Calculated values
Volume ... 28.19 Å³/atom
Calculated formation energy ... -0.054 eV/atom
Excess energy over the best structure of this formula in the dataset ... 0.0 meV/atom
Space group ... P2_1/m, No. 11
Total magnetization ... 0.00 μB per formula unit



Compound: PmDyTc
Source: Alexandria
Functional: PBE-GGA
Structure: relaxed

Cell and atoms, written as extended XYZ:
```
3
Lattice="-1.7483 1.7483 6.3925 1.7483 -1.7483 6.3925 1.7483 1.7483 -6.3925" Properties=species:S:1:pos:R:3 pbc="T T T"
Pm 0.0000 0.0000 0.0000
Dy 0.0000 0.0000 3.2997
Tc 0.0000 0.0000 8.0944
```

Calculated values
Volume ... 26.05 Å³/atom
Calculated formation energy ... 0.023 eV/atom
Excess energy over the best structure of this formula in the dataset ... 0.0 meV/atom
Space group ... I4mm, No. 107
Total magnetization ... 0.00 μB per formula unit



Compound: PmDy2Tc
Source: Alexandria
Functional: PBE-GGA
Structure: relaxed

Cell and atoms, written as extended XYZ:
```
4
Lattice="3.4560 0.0000 0.0000 0.0000 3.4560 0.0000 0.0000 0.0000 9.0788" Properties=species:S:1:pos:R:3 pbc="T T T"
Pm 0.0000 0.0000 0.0000
Dy 1.7280 1.7280 2.8907
Dy 1.7280 1.7280 6.1881
Tc 0.0000 0.0000 4.5394
```

Calculated values
Volume ... 27.11 Å³/atom
Calculated formation energy ... 0.019 eV/atom
Excess energy over the best structure of this formula in the dataset ... 88.2 meV/atom
Space group ... P4/mmm, No. 123
Total magnetization ... 0.00 μB per formula unit



Compound: Pm3DyTc
Source: Alexandria
Functional: PBE-GGA
Structure: relaxed

Cell and atoms, written as extended XYZ:
```
10
Lattice="6.1455 -1.9839 0.0000 6.1455 1.9839 0.0000 -5.0365 0.0000 12.1583" Properties=species:S:1:pos:R:3 pbc="T T T"
Pm 0.0000 0.0000 0.0000
Pm -1.6773 0.0000 4.5598
Pm 0.1779 0.0000 9.2609
Pm 3.6842 0.0000 1.5751
Pm 7.2292 0.0000 2.8807
Pm 7.1344 0.0000 6.2806
Dy 3.5795 0.0000 7.5529
Dy 3.6701 0.0000 10.8707
Tc 2.4576 0.0000 4.6156
Tc 8.3775 0.0000 9.2920
```

Calculated values
Volume ... 29.65 Å³/atom
Calculated formation energy ... 0.000 eV/atom
Excess energy over the best structure of this formula in the dataset ... 0.0 meV/atom
Space group ... Cm, No. 8
Total magnetization ... 0.00 μB per formula unit



Compound: Pm2Dy3Tc2
Source: Alexandria
Functional: PBE-GGA
Structure: relaxed

Cell and atoms, written as extended XYZ:
```
7
Lattice="6.0139 -1.9753 0.0000 6.0139 1.9753 0.0000 -3.3312 0.0000 7.8765" Properties=species:S:1:pos:R:3 pbc="T T T"
Pm 0.9220 0.0000 2.4292
Pm 7.7746 0.0000 5.4474
Dy 4.2618 0.0000 0.5709
Dy 4.3483 0.0000 3.9383
Dy 4.4348 0.0000 7.3056
Tc -0.2956 0.0000 5.6381
Tc 8.9922 0.0000 2.2384
```

Calculated values
Volume ... 26.73 Å³/atom
Calculated formation energy ... -0.028 eV/atom
Space group ... C2/m, No. 12
Total magnetization ... 0.00 μB per formula unit



Compound: PmDyTc
Source: Alexandria
Functional: PBE-GGA
Structure: relaxed

Cell and atoms, written as extended XYZ:
```
6
Lattice="-1.6818 3.0240 7.8158 1.6818 -3.0240 7.8158 1.6818 3.0240 -7.8158" Properties=species:S:1:pos:R:3 pbc="T T T"
Pm 0.0000 0.0000 1.7685
Pm 0.0000 0.0000 13.8630
Dy 0.0000 0.0000 5.1332
Dy 0.0000 0.0000 10.4984
Tc 1.6818 1.8549 0.0000
Tc 0.0000 1.1691 7.8158
```

Calculated values
Volume ... 26.50 Å³/atom
Calculated formation energy ... 0.271 eV/atom
Excess energy over the best structure of this formula in the dataset ... 248.5 meV/atom
Space group ... Immm, No. 71
Total magnetization ... 0.00 μB per formula unit



Compound: PmDyTc4
Source: Alexandria
Functional: PBE-GGA
Structure: relaxed

Cell and atoms, written as extended XYZ:
```
6
Lattice="0.0000 3.8468 3.8468 3.8468 0.0000 3.8468 3.8468 3.8468 0.0000" Properties=species:S:1:pos:R:3 pbc="T T T"
Pm 0.0000 0.0000 0.0000
Dy 1.9234 1.9234 1.9234
Tc 4.8079 2.8858 2.8858
Tc 2.8858 4.8079 2.8858
Tc 2.8858 2.8858 4.8079
Tc 4.8079 4.8079 4.8079
```

Calculated values
Volume ... 18.98 Å³/atom
Calculated formation energy ... -0.059 eV/atom
Space group ... F-43m, No. 216
Total magnetization ... 0.00 μB per formula unit



Compound: PmDy2Tc
Source: Alexandria
Functional: PBE-GGA
Structure: relaxed

Cell and atoms, written as extended XYZ:
```
4
Lattice="1.7165 0.9910 11.0426 -1.7165 0.9910 11.0426 0.0000 -1.9820 11.0426" Properties=species:S:1:pos:R:3 pbc="T T T"
Pm 0.0000 0.0000 0.0000
Dy 0.0000 0.0000 3.5065
Dy 0.0000 0.0000 29.6215
Tc 0.0000 0.0000 16.5640
```

Calculated values
Volume ... 28.18 Å³/atom
Calculated formation energy ... 0.260 eV/atom
Excess energy over the best structure of this formula in the dataset ... 329.6 meV/atom
Space group ... R-3m, No. 166
Total magnetization ... 0.00 μB per formula unit



Compound: PmDy2Te4
Source: Alexandria
Functional: PBE-GGA
Structure: relaxed

Cell and atoms, written as extended XYZ:
```
14
Lattice="2.1427 -7.1788 0.0000 2.1427 7.1788 0.0000 0.0000 0.0000 14.9985" Properties=species:S:1:pos:R:3 pbc="T T T"
Pm 2.1427 5.3679 11.2489
Pm 2.1427 -5.3679 3.7496
Dy 2.1427 1.8863 8.5259
Dy 2.1427 1.8863 13.9719
Dy 2.1427 -1.8863 1.0266
Dy 2.1427 -1.8863 6.4726
Te 0.0000 0.0000 0.0000
Te 0.0000 0.0000 7.4992
Te 2.1427 3.2076 1.8109
Te 2.1427 3.2076 5.6884
Te 2.1427 0.5309 11.2489
Te 2.1427 -0.5309 3.7496
Te 2.1427 -3.2076 9.3101
Te 2.1427 -3.2076 13.1876
```

Calculated values
Formation energy (no corrections) ... -9.651 eV/f.u.
Volume ... 32.96 Å³/atom
Excess energy over the best structure of this formula in the dataset ... 18.4 meV/atom
Space group ... Cmcm, No. 63
Total magnetization ... 0.00 μB per formula unit



Compound: PmDyTe
Source: Alexandria
Functional: PBE-GGA
Structure: relaxed

Cell and atoms, written as extended XYZ:
```
3
Lattice="-1.9594 1.9594 5.8630 1.9594 -1.9594 5.8630 1.9594 1.9594 -5.8630" Properties=species:S:1:pos:R:3 pbc="T T T"
Pm 0.0000 0.0000 0.0000
Dy 0.0000 0.0000 8.1057
Te 0.0000 0.0000 3.9380
```

Calculated values
Formation energy (no corrections) ... -2.343 eV/f.u.
Volume ... 30.01 Å³/atom
Excess energy over the best structure of this formula in the dataset ... 61.3 meV/atom
Space group ... I4mm, No. 107
Total magnetization ... 0.00 μB per formula unit



> Number 10 is which compound?

PmDy2Tc



Please write out number 11 again, unchanged.
Compound: PmDy2Te4
Source: Alexandria
Functional: PBE-GGA
Structure: relaxed

Cell and atoms, written as extended XYZ:
```
14
Lattice="2.1427 -7.1788 0.0000 2.1427 7.1788 0.0000 0.0000 0.0000 14.9985" Properties=species:S:1:pos:R:3 pbc="T T T"
Pm 2.1427 5.3679 11.2489
Pm 2.1427 -5.3679 3.7496
Dy 2.1427 1.8863 8.5259
Dy 2.1427 1.8863 13.9719
Dy 2.1427 -1.8863 1.0266
Dy 2.1427 -1.8863 6.4726
Te 0.0000 0.0000 0.0000
Te 0.0000 0.0000 7.4992
Te 2.1427 3.2076 1.8109
Te 2.1427 3.2076 5.6884
Te 2.1427 0.5309 11.2489
Te 2.1427 -0.5309 3.7496
Te 2.1427 -3.2076 9.3101
Te 2.1427 -3.2076 13.1876
```

Calculated values
Formation energy (no corrections) ... -9.651 eV/f.u.
Volume ... 32.96 Å³/atom
Excess energy over the best structure of this formula in the dataset ... 18.4 meV/atom
Space group ... Cmcm, No. 63
Total magnetization ... 0.00 μB per formula unit